# 1
MnZn2As | Alexandria | PBE-GGA | optimized geometry; energy relative to the elements = 0.153 eV/atom; symmetry = No. 123
1.0
-1.328 -2.268 0.946
2.308 -1.521 -0.404
2.456 1.718 7.565
Zn Mn As
2 1 1
Direct
0.000 0.000 0.967
0.000 0.000 0.533
0.500 0.500 0.750
0.500 0.500 0.250

=====

# 2
MnZnAs | Alexandria | PBE-GGA | optimized geometry; energy relative to the elements = 0.225 eV/atom; symmetry = No. 156
1.0
-1.601 2.715 -3.154
-2.796 -2.445 2.466
-0.166 2.089 1.883
Zn As Mn
1 1 1
Direct
0.333 0.667 0.838
0.000 0.000 0.825
0.667 0.333 0.337

=====

# 3
MnZn2As | Alexandria | PBE-GGA | optimized geometry; energy relative to the elements = 0.074 eV/atom; symmetry = No. 6
1.0
-0.019 1.638 -3.036
-2.777 0.229 0.141
-0.705 5.937 3.207
Zn As Mn
2 1 1
Direct
0.500 0.459 0.214
0.000 0.069 0.988
0.000 0.285 0.549
0.500 0.687 0.749